1.
An optimized crystal structure of Ca5BiO8, computed with PBE-GGA.

a = 6.189 Å, b = 6.189 Å, c = 6.189 Å
α = 109.88°, β = 109.88°, γ = 108.65°
Fractional coordinates of all 14 atoms:
Ca 0.000 0.000 0.000
Ca 0.250 0.629 0.130
Ca 0.371 0.501 0.621
Ca 0.499 0.120 0.870
Ca 0.880 0.750 0.379
Bi 0.750 0.250 0.500
O 0.103 0.247 0.741
O 0.114 0.723 0.739
O 0.277 0.016 0.391
O 0.506 0.362 0.259
O 0.624 0.886 0.609
O 0.638 0.897 0.143
O 0.753 0.494 0.857
O 0.984 0.376 0.261

The uncorrected formation energy is -2.215 eV/atom. The symmetry is I-4, No. 82.

=====

2.
An optimized crystal structure of LiTa2Ir, computed with PBE-GGA.

a = 4.855 Å, b = 4.855 Å, c = 2.860 Å
α = 90.00°, β = 90.00°, γ = 109.48°
Fractional coordinates of all 4 atoms:
Li 0.000 0.000 0.000
Ta 0.000 0.500 0.500
Ta 0.500 0.000 0.500
Ir 0.500 0.500 0.000

For the calculated formation energy, the calculation gives -0.0616 eV/atom. The symmetry is Cmmm, No. 65.

=====

3.
An optimized crystal structure of TbZn8Ir2, computed with PBE-GGA.

a = 6.294 Å, b = 6.294 Å, c = 5.262 Å
α = 90.00°, β = 90.00°, γ = 90.00°
Fractional coordinates of all 11 atoms:
Tb 0.000 0.000 0.000
Zn 0.290 0.290 0.254
Zn 0.290 0.290 0.746
Zn 0.290 0.710 0.254
Zn 0.290 0.710 0.746
Zn 0.710 0.290 0.254
Zn 0.710 0.290 0.746
Zn 0.710 0.710 0.254
Zn 0.710 0.710 0.746
Ir 0.000 0.500 0.500
Ir 0.500 0.000 0.500

For the calculated formation energy, the calculation gives 0.0751 eV/atom. The symmetry is P4/mmm, No. 123.